1.
{"formula": "Ti3Nb3N", "functional": "PBE", "state": "relaxed", "cell": [[-3.259, -6.122, -5.003], [3.034, -7.981, 0.482], [-4.802, -6.202, 3.408]], "species": ["Nb", "Ti", "Ti", "Ti", "Nb", "Ti", "Ti", "Nb", "Nb", "Nb", "Ti", "Nb", "N", "Nb", "Ti", "Ti", "Ti", "N", "Ti", "Ti", "Nb", "Nb", "N", "Nb", "Nb", "N", "Ti", "Nb"], "frac_coords": [[0.839, 0.484, 0.839], [0.823, 0.177, 0.823], [0.073, 0.073, 0.427], [0.073, 0.427, 0.427], [0.625, 0.625, 0.625], [0.427, 0.073, 0.427], [0.823, 0.823, 0.177], [0.411, 0.766, 0.411], [0.625, 0.625, 0.125], [0.125, 0.625, 0.625], [0.427, 0.073, 0.073], [0.484, 0.839, 0.839], [0.125, 0.125, 0.625], [0.411, 0.411, 0.411], [0.177, 0.823, 0.823], [0.427, 0.427, 0.073], [0.073, 0.427, 0.073], [0.125, 0.125, 0.125], [0.177, 0.823, 0.177], [0.177, 0.177, 0.823], [0.625, 0.125, 0.625], [0.839, 0.839, 0.839], [0.625, 0.125, 0.125], [0.839, 0.839, 0.484], [0.411, 0.411, 0.766], [0.125, 0.625, 0.125], [0.823, 0.177, 0.177], [0.766, 0.411, 0.411]], "final_energy_ev_per_atom": -9.21, "sg": "Fd-3m", "dos_ef_per_ev_cell": 33.24}


2.
{"formula": "Ti4NbN4", "functional": "PBE", "state": "relaxed", "cell": [[3.973, -0.002, 1.595], [1.949, 4.773, 0.886], [0.212, -0.090, 5.228]], "species": ["Ti", "Ti", "Ti", "N", "N", "Nb", "N", "Ti", "N"], "frac_coords": [[0.190, 0.205, 0.415], [0.605, 0.585, 0.205], [0.810, 0.795, 0.585], [0.897, 0.409, 0.797], [0.695, 0.203, 0.408], [0.000, 0.000, 0.000], [0.103, 0.591, 0.203], [0.395, 0.415, 0.795], [0.305, 0.797, 0.592]], "final_energy_ev_per_atom": -9.85, "sg": "C2/m", "dos_ef_per_ev_cell": 5.27}


Number 1: E_form (uncorrected) -30.7 kJ/mol of atoms. Number 2: E_form (uncorrected) -146.7 kJ/mol of atoms.